VASP calculation (GGA-PBE) on a relaxed structure of CaGa2Pd.

Calculated volume, A^3/atom: 19.79
Energy relative to the elements, eV per atom: -0.6320
Total magnetic moment, μB/f.u.: 0.00
Space-group type: Pnma (62)
Final energy, eV/atom: -3.944

Unit cell a=5.639 b=7.088 c=7.922 alpha=90.00 beta=90.00 gamma=90.00
Element x y z (fractional)
1 Ca 0.379 0.250 0.038
2 Ca 0.879 0.750 0.462
3 Ca 0.621 0.750 0.962
4 Ca 0.121 0.250 0.538
5 Ga 0.896 0.058 0.178
6 Ga 0.396 0.942 0.322
7 Ga 0.104 0.558 0.822
8 Ga 0.604 0.442 0.678
9 Ga 0.104 0.942 0.822
10 Ga 0.604 0.058 0.678
11 Ga 0.896 0.442 0.178
12 Ga 0.396 0.558 0.322
13 Pd 0.629 0.250 0.392
14 Pd 0.129 0.750 0.108
15 Pd 0.371 0.750 0.608
16 Pd 0.871 0.250 0.892